Model w:
{
  "formula": "CeSiP3",
  "functional": "PBE",
  "state": "relaxed",
  "lattice": [[-0.168, -5.538, 1.359], [5.149, 0.512, 2.724], [-5.589, 2.641, 10.069]],
  "species": ["Ce", "P", "P", "Si", "P", "P", "P", "Ce", "Ce", "Si", "P", "P", "Si", "P", "Si", "P", "P", "Ce", "P", "P"],
  "fractional_positions": [[0.500, 0.000, 0.500], [0.475, 0.553, 0.091], [0.525, 0.447, 0.591], [0.623, 0.367, 0.250], [0.507, 0.998, 0.250], [0.025, 0.053, 0.091], [0.975, 0.947, 0.909], [0.500, 0.000, 0.000], [0.000, 0.500, 0.500], [0.123, 0.133, 0.750], [0.475, 0.553, 0.409], [0.993, 0.498, 0.250], [0.877, 0.867, 0.250], [0.525, 0.447, 0.909], [0.377, 0.633, 0.750], [0.025, 0.053, 0.409], [0.493, 0.002, 0.750], [0.000, 0.500, 0.000], [0.975, 0.947, 0.591], [0.007, 0.502, 0.750]],
  "sg": "No. 62"
}

Model x:
{
  "formula": "CeSiP3",
  "functional": "PBE",
  "state": "relaxed",
  "lattice": [[-5.631, -0.214, 0.798], [0.578, -5.117, 2.712], [2.596, 11.663, 21.455]],
  "species": ["P", "P", "P", "Ce", "Si", "P", "Ce", "P", "Si", "P", "P", "P", "P", "P", "P", "Ce", "Ce", "P", "P", "P", "Si", "Ce", "Si", "Ce", "P", "Si", "P", "P", "Si", "P", "P", "Si", "Ce", "P", "Si", "P", "P", "P", "Ce", "P"],
  "fractional_positions": [[0.232, 0.439, 0.786], [0.236, 0.969, 0.208], [0.232, 0.939, 0.714], [0.753, 0.999, 0.919], [0.337, 0.597, 0.208], [0.505, 0.307, 0.000], [0.253, 0.001, 0.081], [0.503, 0.692, 0.000], [0.842, 0.428, 0.297], [0.250, 0.495, 0.123], [0.003, 0.308, 0.000], [0.750, 0.007, 0.118], [0.236, 0.469, 0.292], [0.505, 0.807, 0.500], [0.732, 0.561, 0.214], [0.753, 0.499, 0.581], [0.752, 0.501, 0.094], [0.005, 0.193, 0.500], [0.250, 0.993, 0.882], [0.750, 0.005, 0.623], [0.342, 0.072, 0.797], [0.253, 0.501, 0.419], [0.337, 0.097, 0.292], [0.752, 0.001, 0.406], [0.503, 0.192, 0.500], [0.837, 0.903, 0.708], [0.250, 0.995, 0.377], [0.736, 0.531, 0.708], [0.842, 0.928, 0.203], [0.250, 0.493, 0.618], [0.736, 0.031, 0.792], [0.837, 0.403, 0.792], [0.252, 0.499, 0.906], [0.732, 0.061, 0.286], [0.342, 0.572, 0.703], [0.750, 0.507, 0.382], [0.750, 0.505, 0.877], [0.005, 0.693, 0.000], [0.252, 0.999, 0.594], [0.003, 0.808, 0.500]],
  "sg": "No. 33"
}

Out of the structures above, which one is the most stable? Solution: model x.